No. 1
Below is a geometry-optimized PrTlF structure, with properties calculated at the PBE-GGA level.

a b c (Å): 4.076 4.076 5.478
angles (deg): 90.00 90.00 120.00
Atoms (fractional coordinates):
Pr: 0.000 0.000 0.000
Tl: 0.667 0.333 0.500
F: 0.333 0.667 0.000

The calculation puts the excess energy over the best structure of this formula in the dataset at 0.6 meV per atom. For the total energy, the calculation gives -14.25 eV/f.u. As for the density of states at the Fermi level: 0.356 states/eV per atom. As for the formation energy (no corrections): -1.745 eV per atom.

***

No. 2
Below is a geometry-optimized Pr2Tl5F12 structure, with properties calculated at the PBE-GGA level.

a b c (Å): 8.222 8.222 7.519
angles (deg): 116.73 116.73 59.52
Atoms (fractional coordinates):
Pr: 0.247 0.753 0.000
Pr: 0.753 0.247 0.000
Tl: 0.000 0.000 0.500
Tl: 0.274 0.274 0.557
Tl: 0.301 0.301 0.146
Tl: 0.699 0.699 0.854
Tl: 0.726 0.726 0.443
F: 0.083 0.083 0.958
F: 0.092 0.701 0.636
F: 0.134 0.494 0.890
F: 0.299 0.908 0.364
F: 0.493 0.493 0.816
F: 0.494 0.134 0.890
F: 0.506 0.866 0.110
F: 0.507 0.507 0.184
F: 0.701 0.092 0.636
F: 0.866 0.506 0.110
F: 0.908 0.299 0.364
F: 0.917 0.917 0.042

For the total energy, the calculation gives -95.04 eV/f.u. As for the density of states at the Fermi level: 0.435 states/eV per atom. As for the formation energy (no corrections): -2.695 eV per atom.

***

No. 3
Below is a geometry-optimized PrTl4F7 structure, with properties calculated at the PBE-GGA level.

a b c (Å): 10.087 10.087 6.637
angles (deg): 106.14 106.14 26.19
Atoms (fractional coordinates):
Pr: 0.000 0.000 0.000
Tl: 0.289 0.289 0.807
Tl: 0.405 0.405 0.434
Tl: 0.595 0.595 0.566
Tl: 0.711 0.711 0.193
F: 0.071 0.071 0.776
F: 0.102 0.102 0.281
F: 0.283 0.283 0.182
F: 0.500 0.500 0.000
F: 0.717 0.717 0.818
F: 0.898 0.898 0.719
F: 0.929 0.929 0.224

For the total energy, the calculation gives -57.13 eV/f.u. As for the density of states at the Fermi level: 0.000 states/eV per atom. As for the formation energy (no corrections): -2.482 eV per atom.

***

No. 4
Below is a geometry-optimized Pr2TlF structure, with properties calculated at the PBE-GGA level.

a b c (Å): 3.454 3.454 8.118
angles (deg): 90.00 90.00 90.00
Atoms (fractional coordinates):
Pr: 0.000 0.000 0.226
Pr: 0.000 0.000 0.774
Tl: 0.500 0.500 0.500
F: 0.500 0.500 0.000

The calculation puts the excess energy over the best structure of this formula in the dataset at 203.6 meV per atom. For the total energy, the calculation gives -18.28 eV/f.u. As for the density of states at the Fermi level: 0.701 states/eV per atom. As for the formation energy (no corrections): -1.121 eV per atom.

***

No. 5
Below is a geometry-optimized Pr2TlF structure, with properties calculated at the PBE-GGA level.

a b c (Å): 8.193 8.193 8.193
angles (deg): 27.37 27.37 27.37
Atoms (fractional coordinates):
Pr: 0.228 0.228 0.228
Pr: 0.772 0.772 0.772
Tl: 0.000 0.000 0.000
F: 0.500 0.500 0.500

The calculation puts the excess energy over the best structure of this formula in the dataset at 0.0 meV per atom. For the total energy, the calculation gives -19.09 eV/f.u. As for the density of states at the Fermi level: 0.568 states/eV per atom. As for the formation energy (no corrections): -1.324 eV per atom.

***

No. 6
Below is a geometry-optimized PrTlF6 structure, with properties calculated at the PBE-GGA level.

a b c (Å): 4.195 5.924 6.015
angles (deg): 96.87 110.30 105.24
Atoms (fractional coordinates):
Pr: 0.000 0.000 0.000
Tl: 0.000 0.500 0.500
F: 0.027 0.728 0.247
F: 0.298 0.276 0.399
F: 0.358 0.785 0.871
F: 0.642 0.215 0.129
F: 0.702 0.724 0.601
F: 0.973 0.272 0.753

For the total energy, the calculation gives -41.67 eV/f.u. As for the density of states at the Fermi level: 0.000 states/eV per atom. As for the formation energy (no corrections): -2.912 eV per atom.

***

No. 7
Below is a geometry-optimized PrTl3F6 structure, with properties calculated at the PBE-GGA level.

a b c (Å): 7.714 13.603 4.094
angles (deg): 90.00 90.00 90.00
Atoms (fractional coordinates):
Pr: 0.000 0.000 0.000
Pr: 0.500 0.500 0.500
Tl: 0.000 0.500 0.000
Tl: 0.178 0.226 0.500
Tl: 0.322 0.726 0.000
Tl: 0.500 0.000 0.500
Tl: 0.678 0.274 0.000
Tl: 0.822 0.774 0.500
F: 0.028 0.823 0.000
F: 0.148 0.952 0.500
F: 0.214 0.579 0.500
F: 0.286 0.079 0.000
F: 0.352 0.452 0.000
F: 0.472 0.323 0.500
F: 0.528 0.677 0.500
F: 0.648 0.548 0.000
F: 0.714 0.921 0.000
F: 0.786 0.421 0.500
F: 0.852 0.048 0.500
F: 0.972 0.177 0.000

For the total energy, the calculation gives -49.43 eV/f.u. As for the density of states at the Fermi level: 0.000 states/eV per atom. As for the formation energy (no corrections): -2.633 eV per atom.

***

No. 8
Below is a geometry-optimized PrTlF structure, with properties calculated at the PBE-GGA level.

a b c (Å): 4.078 4.078 21.824
angles (deg): 90.00 90.00 120.00
Atoms (fractional coordinates):
Pr: 0.333 0.667 0.124
Pr: 0.333 0.667 0.376
Pr: 0.667 0.333 0.624
Pr: 0.667 0.333 0.876
Tl: 0.000 0.000 0.000
Tl: 0.000 0.000 0.250
Tl: 0.000 0.000 0.500
Tl: 0.000 0.000 0.750
F: 0.333 0.667 0.627
F: 0.333 0.667 0.873
F: 0.667 0.333 0.127
F: 0.667 0.333 0.373

The calculation puts the excess energy over the best structure of this formula in the dataset at 0.0 meV per atom. For the total energy, the calculation gives -14.25 eV/f.u. As for the density of states at the Fermi level: 0.384 states/eV per atom. As for the formation energy (no corrections): -1.745 eV per atom.

***

No. 9
Below is a geometry-optimized Pr3TlF structure, with properties calculated at the PBE-GGA level.

a b c (Å): 5.099 5.099 5.099
angles (deg): 90.00 90.00 90.00
Atoms (fractional coordinates):
Pr: 0.000 0.000 0.500
Pr: 0.000 0.500 0.000
Pr: 0.500 0.000 0.000
Tl: 0.500 0.500 0.500
F: 0.000 0.000 0.000

For the total energy, the calculation gives -23.98 eV/f.u. As for the density of states at the Fermi level: 0.815 states/eV per atom. As for the formation energy (no corrections): -1.080 eV per atom.

***

No. 10
Below is a geometry-optimized PrTlF4 structure, with properties calculated at the PBE-GGA level.

a b c (Å): 6.391 3.822 16.769
angles (deg): 90.00 90.00 90.00
Atoms (fractional coordinates):
Pr: 0.247 0.250 0.057
Pr: 0.253 0.750 0.557
Pr: 0.747 0.250 0.443
Pr: 0.753 0.750 0.943
Tl: 0.212 0.750 0.298
Tl: 0.288 0.250 0.798
Tl: 0.712 0.750 0.202
Tl: 0.788 0.250 0.702
F: 0.004 0.750 0.445
F: 0.090 0.750 0.682
F: 0.108 0.750 0.127
F: 0.133 0.750 0.967
F: 0.367 0.250 0.467
F: 0.392 0.250 0.627
F: 0.410 0.250 0.182
F: 0.496 0.250 0.945
F: 0.504 0.750 0.055
F: 0.590 0.750 0.818
F: 0.608 0.750 0.373
F: 0.633 0.750 0.533
F: 0.867 0.250 0.033
F: 0.892 0.250 0.873
F: 0.910 0.250 0.318
F: 0.996 0.250 0.555

The calculation puts the excess energy over the best structure of this formula in the dataset at 0.0 meV per atom. For the total energy, the calculation gives -34.61 eV/f.u. As for the density of states at the Fermi level: 0.000 states/eV per atom. As for the formation energy (no corrections): -3.329 eV per atom.

***

No. 11
Below is a geometry-optimized PrTlF4 structure, with properties calculated at the PBE-GGA level.

a b c (Å): 7.184 7.184 7.184
angles (deg): 128.66 128.66 75.56
Atoms (fractional coordinates):
Pr: 0.375 0.625 0.750
Pr: 0.625 0.375 0.250
Tl: 0.125 0.875 0.250
Tl: 0.875 0.125 0.750
F: 0.000 0.299 0.299
F: 0.000 0.701 0.701
F: 0.299 0.000 0.799
F: 0.299 0.500 0.299
F: 0.500 0.299 0.799
F: 0.500 0.701 0.201
F: 0.701 0.000 0.201
F: 0.701 0.500 0.701

The calculation puts the excess energy over the best structure of this formula in the dataset at 43.7 meV per atom. For the total energy, the calculation gives -34.34 eV/f.u. As for the density of states at the Fermi level: 0.000 states/eV per atom. As for the formation energy (no corrections): -3.286 eV per atom.

***

No. 12
Below is a geometry-optimized PrTl2F11 structure, with properties calculated at the PBE-GGA level.

a b c (Å): 8.807 8.807 8.807
angles (deg): 122.99 106.99 99.39
Atoms (fractional coordinates):
Pr: 0.250 0.250 0.000
Pr: 0.750 0.750 0.000
Tl: 0.192 0.667 0.859
Tl: 0.308 0.167 0.475
Tl: 0.692 0.833 0.525
Tl: 0.808 0.333 0.141
F: 0.000 0.500 0.500
F: 0.035 0.964 0.280
F: 0.055 0.345 0.138
F: 0.184 0.464 0.929
F: 0.188 0.397 0.585
F: 0.207 0.917 0.862
F: 0.293 0.155 0.710
F: 0.312 0.897 0.208
F: 0.316 0.245 0.280
F: 0.445 0.583 0.290
F: 0.465 0.745 0.929
F: 0.500 0.000 0.500
F: 0.535 0.255 0.071
F: 0.555 0.417 0.710
F: 0.684 0.755 0.720
F: 0.688 0.103 0.792
F: 0.707 0.845 0.290
F: 0.793 0.083 0.138
F: 0.812 0.603 0.415
F: 0.816 0.536 0.071
F: 0.945 0.655 0.862
F: 0.965 0.036 0.720

For the total energy, the calculation gives -59.45 eV/f.u. As for the density of states at the Fermi level: 1.155 states/eV per atom. As for the formation energy (no corrections): -2.097 eV per atom.

***

No. 13
Below is a geometry-optimized PrTlF structure, with properties calculated at the PBE-GGA level.

a b c (Å): 6.634 6.634 6.634
angles (deg): 149.57 149.57 43.58
Atoms (fractional coordinates):
Pr: 0.000 0.000 0.000
Tl: 0.277 0.277 0.000
F: 0.540 0.540 0.000

The calculation puts the excess energy over the best structure of this formula in the dataset at 183.2 meV per atom. For the total energy, the calculation gives -13.70 eV/f.u. As for the density of states at the Fermi level: 1.004 states/eV per atom. As for the formation energy (no corrections): -1.562 eV per atom.

***

No. 14
Below is a geometry-optimized Pr4Tl2F structure, with properties calculated at the PBE-GGA level.

a b c (Å): 9.502 9.502 9.502
angles (deg): 150.28 150.28 42.53
Atoms (fractional coordinates):
Pr: 0.000 0.500 0.500
Pr: 0.184 0.184 0.000
Pr: 0.500 0.000 0.500
Pr: 0.816 0.816 0.000
Tl: 0.365 0.365 0.000
Tl: 0.635 0.635 0.000
F: 0.000 0.000 0.000

For the total energy, the calculation gives -31.82 eV/f.u. As for the density of states at the Fermi level: 0.874 states/eV per atom. As for the formation energy (no corrections): -0.871 eV per atom.

***

No. 15
Below is a geometry-optimized PrTl2Zn3F12 structure, with properties calculated at the PBE-GGA level.

a b c (Å): 6.868 6.868 6.868
angles (deg): 67.27 67.27 67.27
Atoms (fractional coordinates):
Pr: 0.000 0.000 0.000
Tl: 0.391 0.391 0.391
Tl: 0.609 0.609 0.609
Zn: 0.000 0.000 0.500
Zn: 0.000 0.500 0.000
Zn: 0.500 0.000 0.000
F: 0.110 0.750 0.750
F: 0.152 0.152 0.576
F: 0.152 0.576 0.152
F: 0.250 0.250 0.890
F: 0.250 0.890 0.250
F: 0.424 0.848 0.848
F: 0.576 0.152 0.152
F: 0.750 0.110 0.750
F: 0.750 0.750 0.110
F: 0.848 0.424 0.848
F: 0.848 0.848 0.424
F: 0.890 0.250 0.250

For the total energy, the calculation gives -80.76 eV/f.u. As for the density of states at the Fermi level: 0.341 states/eV per atom. As for the formation energy (no corrections): -2.498 eV per atom.

***

No. 16
Below is a geometry-optimized Pr2TmF8 structure, with properties calculated at the PBE-GGA level.

a b c (Å): 8.237 8.237 5.386
angles (deg): 104.42 104.42 27.21
Atoms (fractional coordinates):
Pr: 0.163 0.163 0.163
Pr: 0.837 0.837 0.837
Tm: 0.500 0.500 0.500
F: 0.023 0.023 0.296
F: 0.238 0.238 0.827
F: 0.372 0.372 0.598
F: 0.406 0.406 0.116
F: 0.594 0.594 0.884
F: 0.628 0.628 0.402
F: 0.762 0.762 0.173
F: 0.977 0.977 0.704

For the total energy, the calculation gives -71.39 eV/f.u. As for the density of states at the Fermi level: 0.182 states/eV per atom. As for the formation energy (no corrections): -3.854 eV per atom.

***

No. 17
Below is a geometry-optimized PrTm2F11 structure, with properties calculated at the PBE-GGA level.

a b c (Å): 8.749 8.749 8.749
angles (deg): 123.39 108.41 97.69
Atoms (fractional coordinates):
Pr: 0.250 0.250 0.000
Pr: 0.750 0.750 0.000
Tm: 0.188 0.654 0.842
Tm: 0.312 0.154 0.467
Tm: 0.688 0.846 0.533
Tm: 0.812 0.346 0.158
F: 0.000 0.500 0.500
F: 0.038 0.969 0.283
F: 0.051 0.345 0.138
F: 0.185 0.469 0.930
F: 0.200 0.389 0.589
F: 0.207 0.914 0.862
F: 0.293 0.155 0.706
F: 0.300 0.889 0.189
F: 0.315 0.245 0.283
F: 0.449 0.586 0.294
F: 0.462 0.745 0.930
F: 0.500 0.000 0.500
F: 0.538 0.255 0.070
F: 0.551 0.414 0.706
F: 0.685 0.755 0.717
F: 0.700 0.111 0.811
F: 0.707 0.845 0.294
F: 0.793 0.086 0.138
F: 0.800 0.611 0.411
F: 0.815 0.531 0.070
F: 0.949 0.655 0.862
F: 0.962 0.031 0.717

For the total energy, the calculation gives -82.74 eV/f.u. As for the density of states at the Fermi level: 0.910 states/eV per atom. As for the formation energy (no corrections): -3.459 eV per atom.

***

No. 18
Below is a geometry-optimized Pr2TmF structure, with properties calculated at the PBE-GGA level.

a b c (Å): 8.967 8.967 8.967
angles (deg): 24.60 24.60 24.60
Atoms (fractional coordinates):
Pr: 0.224 0.224 0.224
Pr: 0.776 0.776 0.776
Tm: 0.000 0.000 0.000
F: 0.500 0.500 0.500

For the total energy, the calculation gives -20.37 eV/f.u. As for the density of states at the Fermi level: 0.965 states/eV per atom. As for the formation energy (no corrections): -1.116 eV per atom.

***

No. 19
Below is a geometry-optimized PrTm2F structure, with properties calculated at the PBE-GGA level.

a b c (Å): 9.593 9.593 9.593
angles (deg): 21.52 21.52 21.52
Atoms (fractional coordinates):
Pr: 0.000 0.000 0.000
Tm: 0.119 0.119 0.119
Tm: 0.881 0.881 0.881
F: 0.500 0.500 0.500

For the total energy, the calculation gives -19.06 eV/f.u. As for the density of states at the Fermi level: 1.087 states/eV per atom. As for the formation energy (no corrections): -0.868 eV per atom.

***

No. 20
Below is a geometry-optimized PrU2F11 structure, with properties calculated at the PBE-GGA level.

a b c (Å): 8.857 8.857 8.857
angles (deg): 122.69 106.54 100.10
Atoms (fractional coordinates):
Pr: 0.250 0.250 0.000
Pr: 0.750 0.750 0.000
U: 0.182 0.648 0.830
U: 0.318 0.148 0.466
U: 0.682 0.852 0.534
U: 0.818 0.352 0.170
F: 0.000 0.500 0.500
F: 0.039 0.954 0.271
F: 0.062 0.358 0.150
F: 0.183 0.454 0.915
F: 0.208 0.912 0.850
F: 0.215 0.372 0.587
F: 0.285 0.872 0.157
F: 0.292 0.142 0.704
F: 0.317 0.232 0.271
F: 0.438 0.588 0.296
F: 0.461 0.732 0.915
F: 0.500 0.000 0.500
F: 0.539 0.268 0.085
F: 0.562 0.412 0.704
F: 0.683 0.768 0.729
F: 0.708 0.858 0.296
F: 0.715 0.128 0.843
F: 0.785 0.628 0.413
F: 0.792 0.088 0.150
F: 0.817 0.546 0.085
F: 0.938 0.642 0.850
F: 0.961 0.046 0.729

For the total energy, the calculation gives -100.44 eV/f.u. As for the density of states at the Fermi level: 0.372 states/eV per atom. As for the formation energy (no corrections): -3.750 eV per atom.